Entry 1:
VASP calculation (PBE-GGA) on a relaxed structure of LaPmHgAu.

```
LaPmHgAu
1.0
-2.269 1.369 -2.713
2.462 -1.155 -2.643
-3.581 -6.722 -0.398
La Pm Hg Au
1 1 1 1
Cartesian
-3.029 -5.685 -0.336
-1.328 -2.493 -0.148
-0.327 -0.687 -2.725
-2.027 -3.880 -2.914
```

Computed properties:
As for the energy relative to the elements: -0.634 eV per atom. The total magnetization is 0.003 μB per atom.

Entry 2:
VASP calculation (PBE-GGA) on a relaxed structure of LaPmHgAu.

```
LaPmHgAu
1.0
-3.580 1.768 -3.599
0.232 -1.717 -5.088
-3.778 -3.324 -1.889
La Au Hg Pm
1 1 1 1
Cartesian
-3.563 -1.636 -5.288
-5.345 -2.455 -7.933
-1.782 -0.818 -2.644
0.000 0.000 0.000
```

Computed properties:
As for the energy relative to the elements: -0.615 eV per atom. The total magnetization is 0.000 μB per atom.

Entry 3:
VASP calculation (PBE-GGA) on a relaxed structure of LaPrHgAu.

```
LaPrHgAu
1.0
-0.042 3.120 2.215
-3.482 -0.949 1.270
3.169 -4.003 5.698
La Pr Hg Au
1 1 1 1
Cartesian
2.675 -3.379 4.809
1.171 -1.480 2.106
-1.409 0.639 2.378
0.148 -1.328 5.178
```

Computed properties:
As for the energy relative to the elements: -0.623 eV per atom. The total magnetization is 0.000 μB per atom.